The following is a PBE calculation of BaPm2Mg after structural relaxation, from Alexandria.

Unit cell a=3.927 b=3.927 c=9.661 alpha=90.00 beta=90.00 gamma=90.00
Fractional positions:
Ba (0.000, 0.000, 0.000)
Pm (0.500, 0.500, 0.312)
Pm (0.500, 0.500, 0.688)
Mg (0.000, 0.000, 0.500)

Calculated values
Energy relative to the lowest polymorph listed for this composition: 0.0 kJ/mol of atoms
Space-group type: P4/mmm (123)
Final energy: -3.187 eV/atom
Formation energy from the elements: 0.0675 eV per atom